1.
A relaxed structure of LaTlIr2. Source: Alexandria via LeMat-Bulk, functional PBE.

Calculated values
DFT total energy, Ry per atom: -0.46242
Spin magnetization, Bohr magnetons per cell: 0.00
Energy above the lowest structure with this stoichiometry, meV per atom: 173

```
data_LaTlIr2
_chemical_formula_sum 'La4 Tl4 Ir8'
_cell_length_a 6.9201
_cell_length_b 6.9201
_cell_length_c 6.9201
_cell_angle_alpha 90.00
_cell_angle_beta 90.00
_cell_angle_gamma 90.00
_space_group_name_H-M_alt 'F m -3 m'
_space_group_IT_number 225
_space_group_name_Hall '-F 4 2 3'
loop_
_atom_site_label
_atom_site_fract_x
_atom_site_fract_y
_atom_site_fract_z
La1 0.0000 0.0000 0.0000
Tl1 0.0000 0.0000 0.5000
Ir1 0.2500 0.2500 0.2500
```



2.
A relaxed structure of LaYTlIr. Source: Alexandria via LeMat-Bulk, functional PBE.

Calculated values
DFT total energy, Ry per atom: -0.44545
Spin magnetization, Bohr magnetons per cell: 0.00

```
data_LaYTlIr
_chemical_formula_sum 'La4 Y4 Tl4 Ir4'
_cell_length_a 7.4073
_cell_length_b 7.4073
_cell_length_c 7.4073
_cell_angle_alpha 90.00
_cell_angle_beta 90.00
_cell_angle_gamma 90.00
_space_group_name_H-M_alt 'F -4 3 m'
_space_group_IT_number 216
_space_group_name_Hall 'F -4 2 3'
loop_
_atom_site_label
_atom_site_fract_x
_atom_site_fract_y
_atom_site_fract_z
La1 0.0000 0.0000 0.0000
Y1 0.0000 0.0000 0.5000
Tl1 0.2500 0.2500 0.7500
Ir1 0.2500 0.2500 0.2500
```



3.
A relaxed structure of LaYTl2Ir. Source: Alexandria via LeMat-Bulk, functional PBE.

Calculated values
DFT total energy, Ry per atom: -0.26489
Spin magnetization, Bohr magnetons per cell: 2.25

```
data_LaYTl2Ir
_chemical_formula_sum 'La1 Y1 Tl2 Ir1'
_cell_length_a 5.6052
_cell_length_b 5.6052
_cell_length_c 5.8114
_cell_angle_alpha 90.00
_cell_angle_beta 90.00
_cell_angle_gamma 90.00
_space_group_name_H-M_alt 'P 4/m m m'
_space_group_IT_number 123
_space_group_name_Hall '-P 4 2'
loop_
_atom_site_label
_atom_site_fract_x
_atom_site_fract_y
_atom_site_fract_z
La1 0.0000 0.0000 0.0000
Y1 0.0000 0.0000 0.5000
Tl1 0.0000 0.5000 0.5000
Ir1 0.5000 0.5000 0.0000
```



4.
A relaxed structure of La2YTlIr. Source: Alexandria via LeMat-Bulk, functional PBE.

Calculated values
DFT total energy, Ry per atom: -0.43510
Spin magnetization, Bohr magnetons per cell: 0.00

```
data_La2YTlIr
_chemical_formula_sum 'La2 Y1 Tl1 Ir1'
_cell_length_a 5.5312
_cell_length_b 5.5312
_cell_length_c 5.5314
_cell_angle_alpha 90.00
_cell_angle_beta 90.00
_cell_angle_gamma 90.00
_space_group_name_H-M_alt 'P 4/m m m'
_space_group_IT_number 123
_space_group_name_Hall '-P 4 2'
loop_
_atom_site_label
_atom_site_fract_x
_atom_site_fract_y
_atom_site_fract_z
La1 0.0000 0.5000 0.0000
Y1 0.0000 0.0000 0.5000
Tl1 0.5000 0.5000 0.5000
Ir1 0.0000 0.0000 0.0000
```



5.
A relaxed structure of LaTlZn2Ir. Source: Alexandria via LeMat-Bulk, functional PBE.

Calculated values
DFT total energy, Ry per atom: -0.29078
Spin magnetization, Bohr magnetons per cell: 0.00

```
data_LaTlZn2Ir
_chemical_formula_sum 'La1 Tl1 Zn2 Ir1'
_cell_length_a 4.9804
_cell_length_b 4.9804
_cell_length_c 5.3356
_cell_angle_alpha 90.00
_cell_angle_beta 90.00
_cell_angle_gamma 90.00
_space_group_name_H-M_alt 'P 4/m m m'
_space_group_IT_number 123
_space_group_name_Hall '-P 4 2'
loop_
_atom_site_label
_atom_site_fract_x
_atom_site_fract_y
_atom_site_fract_z
La1 0.0000 0.0000 0.0000
Tl1 0.5000 0.5000 0.0000
Zn1 0.0000 0.5000 0.5000
Ir1 0.0000 0.0000 0.5000
```



6.
A relaxed structure of La2TlZnIr. Source: Alexandria via LeMat-Bulk, functional PBE.

Calculated values
DFT total energy, Ry per atom: -0.36674
Spin magnetization, Bohr magnetons per cell: 0.00
Energy above the lowest structure with this stoichiometry, meV per atom: 0

```
data_La2TlZnIr
_chemical_formula_sum 'La4 Tl2 Zn2 Ir2'
_cell_length_a 7.5214
_cell_length_b 4.5394
_cell_length_c 8.1238
_cell_angle_alpha 90.00
_cell_angle_beta 108.35
_cell_angle_gamma 90.00
_space_group_name_H-M_alt 'P 1 21/m 1'
_space_group_IT_number 11
loop_
_space_group_symop_operation_xyz
'x,y,z'
'-x,-y,-z'
'-x,y+1/2,-z'
'x,-y+1/2,z'
loop_
_atom_site_label
_atom_site_fract_x
_atom_site_fract_y
_atom_site_fract_z
La1 0.1365 0.2500 0.3350
La2 0.2775 0.2500 0.9527
Tl1 0.3217 0.7500 0.6534
Zn1 0.4466 0.7500 0.3248
Ir1 0.1243 0.7500 0.0913
```



7.
A relaxed structure of La2TlZnIr. Source: Alexandria via LeMat-Bulk, functional PBE.

Calculated values
DFT total energy, Ry per atom: -0.35967
Spin magnetization, Bohr magnetons per cell: 0.00
Energy above the lowest structure with this stoichiometry, meV per atom: 96

```
data_La2TlZnIr
_chemical_formula_sum 'La2 Tl1 Zn1 Ir1'
_cell_length_a 5.5235
_cell_length_b 5.5235
_cell_length_c 4.9255
_cell_angle_alpha 90.00
_cell_angle_beta 90.00
_cell_angle_gamma 90.00
_space_group_name_H-M_alt 'P 4/m m m'
_space_group_IT_number 123
_space_group_name_Hall '-P 4 2'
loop_
_atom_site_label
_atom_site_fract_x
_atom_site_fract_y
_atom_site_fract_z
La1 0.0000 0.5000 0.0000
Tl1 0.0000 0.0000 0.5000
Zn1 0.5000 0.5000 0.5000
Ir1 0.5000 0.5000 0.0000
```



8.
A relaxed structure of LaZrTlIr2. Source: Alexandria via LeMat-Bulk, functional PBE.

Calculated values
DFT total energy, Ry per atom: -0.38985
Spin magnetization, Bohr magnetons per cell: 1.65

```
data_LaZrTlIr2
_chemical_formula_sum 'La1 Zr1 Tl1 Ir2'
_cell_length_a 5.0118
_cell_length_b 5.0118
_cell_length_c 5.4975
_cell_angle_alpha 90.00
_cell_angle_beta 90.00
_cell_angle_gamma 90.00
_space_group_name_H-M_alt 'P 4/m m m'
_space_group_IT_number 123
_space_group_name_Hall '-P 4 2'
loop_
_atom_site_label
_atom_site_fract_x
_atom_site_fract_y
_atom_site_fract_z
La1 0.0000 0.0000 0.0000
Zr1 0.5000 0.5000 0.0000
Tl1 0.0000 0.0000 0.5000
Ir1 0.0000 0.5000 0.5000
```



9.
A relaxed structure of LaTmIr4. Source: Alexandria via LeMat-Bulk, functional PBE.

Calculated values
DFT total energy, Ry per atom: -0.60413
Spin magnetization, Bohr magnetons per cell: 0.00

```
data_LaTmIr4
_chemical_formula_sum 'La4 Tm4 Ir16'
_cell_length_a 7.6443
_cell_length_b 7.6443
_cell_length_c 7.6443
_cell_angle_alpha 90.00
_cell_angle_beta 90.00
_cell_angle_gamma 90.00
_space_group_name_H-M_alt 'F -4 3 m'
_space_group_IT_number 216
_space_group_name_Hall 'F -4 2 3'
loop_
_atom_site_label
_atom_site_fract_x
_atom_site_fract_y
_atom_site_fract_z
La1 0.0000 0.0000 0.0000
Tm1 0.2500 0.2500 0.7500
Ir1 0.1247 0.1247 0.3753
```



10.
A relaxed structure of La3TmIr8. Source: Alexandria via LeMat-Bulk, functional PBE.

Calculated values
DFT total energy, Ry per atom: -0.60615
Spin magnetization, Bohr magnetons per cell: 0.00

```
data_La3TmIr8
_chemical_formula_sum 'La9 Tm3 Ir24'
_cell_length_a 5.4397
_cell_length_b 5.4397
_cell_length_c 26.6271
_cell_angle_alpha 90.00
_cell_angle_beta 90.00
_cell_angle_gamma 120.00
_space_group_name_H-M_alt 'R 3 m'
_space_group_IT_number 160
_space_group_name_Hall 'R 3 -2"'
loop_
_atom_site_label
_atom_site_fract_x
_atom_site_fract_y
_atom_site_fract_z
La1 0.0000 0.0000 0.0000
La2 0.0000 0.0000 0.1249
La3 0.0000 0.0000 0.6247
Tm1 0.0000 0.0000 0.4997
Ir1 0.0000 0.0000 0.3125
Ir2 0.0000 0.0000 0.8127
Ir3 0.0017 0.5008 0.0639
Ir4 0.1672 0.3344 0.8942
```



11.
A relaxed structure of LaTm3Ir. Source: Alexandria via LeMat-Bulk, functional PBE.

Calculated values
DFT total energy, Ry per atom: -0.42625
Spin magnetization, Bohr magnetons per cell: 0.00

```
data_LaTm3Ir
_chemical_formula_sum 'La1 Tm3 Ir1'
_cell_length_a 5.3987
_cell_length_b 5.3987
_cell_length_c 5.3987
_cell_angle_alpha 90.00
_cell_angle_beta 90.00
_cell_angle_gamma 90.00
_space_group_name_H-M_alt 'P m -3 m'
_space_group_IT_number 221
_space_group_name_Hall '-P 4 2 3'
loop_
_atom_site_label
_atom_site_fract_x
_atom_site_fract_y
_atom_site_fract_z
La1 0.0000 0.0000 0.0000
Tm1 0.0000 0.5000 0.5000
Ir1 0.5000 0.5000 0.5000
```



12.
A relaxed structure of LaTmIr. Source: Alexandria via LeMat-Bulk, functional PBE.

Calculated values
DFT total energy, Ry per atom: -0.49265
Spin magnetization, Bohr magnetons per cell: 0.00
Energy above the lowest structure with this stoichiometry, meV per atom: 79

```
data_LaTmIr
_chemical_formula_sum 'La4 Tm4 Ir4'
_cell_length_a 6.9222
_cell_length_b 6.9222
_cell_length_c 6.9222
_cell_angle_alpha 90.00
_cell_angle_beta 90.00
_cell_angle_gamma 90.00
_space_group_name_H-M_alt 'F -4 3 m'
_space_group_IT_number 216
_space_group_name_Hall 'F -4 2 3'
loop_
_atom_site_label
_atom_site_fract_x
_atom_site_fract_y
_atom_site_fract_z
La1 0.0000 0.0000 0.0000
Tm1 0.0000 0.0000 0.5000
Ir1 0.2500 0.2500 0.2500
```



| no. | ΔH_f (0 K) (eV/atom) |
| --- | --- |
| 1 | -0.038 |
| 2 | -0.406 |
| 3 | 1.393 |
| 4 | -0.411 |
| 5 | -0.216 |
| 6 | -0.519 |
| 7 | -0.422 |
| 8 | 1.409 |
| 9 | -0.746 |
| 10 | -0.735 |
| 11 | -0.359 |
| 12 | -0.616 |